Material: CdHgOs2Cl
Method: DFT, PBEsol
State: optimized geometry

Structure (POSCAR):
```
CdHgOs2Cl
1.0
5.045 0.000 0.000
0.000 5.045 0.000
0.000 0.000 4.960
Cl Os Hg Cd
1 2 1 1
direct
0.000 0.000 0.500 Cl
0.000 0.500 0.000 Os
0.500 0.000 0.000 Os
0.000 0.000 0.000 Hg
0.500 0.500 0.500 Cd
```

Properties
Crystal system: tetragonal
Formation energy from raw total energies, eV/atom: 2.443
DOS at the Fermi energy, states/eV/cell: 6.40
Raw total energy, eV for the cell shown: -15.989
V, Å³ per atom: 25.253
Symmetry: P4/mmm (123)